# PmZrZnGa (PBE, optimized geometry)
data_PmZrZnGa
_chemical_formula_sum 'Pm1 Zr1 Zn1 Ga1'
_cell_length_a 4.955
_cell_length_b 4.955
_cell_length_c 4.955
_cell_angle_alpha 60.00
_cell_angle_beta 60.00
_cell_angle_gamma 60.00
_space_group_name_H-M_alt 'P 1'
_space_group_IT_number 1
_space_group_name_Hall 'P 1'
loop_
_atom_site_label
_atom_site_type_symbol
_atom_site_fract_x
_atom_site_fract_y
_atom_site_fract_z
_atom_site_occupancy
Zn1 Zn 0.250 0.250 0.250 1
Zr1 Zr 0.500 0.500 0.500 1
Pm1 Pm 0.000 0.000 0.000 1
Ga1 Ga 0.750 0.750 0.750 1
# DOS at the Fermi energy in states/eV per atom: 0.551
# Space-group type: F-43m, No. 216
# DFT formation energy in meV per atom: -351
# Electronic total energy in eV per atom: -4.751
# M_tot in μB/cell: 0.0